# 1
A relaxed structure of Mg2CdIr. Source: Alexandria, functional PBE.

```
8
Lattice="-2.0441 2.0441 9.4335 2.0441 -2.0441 9.4335 2.0441 2.0441 -9.4335" Properties=species:S:1:pos:R:3 pbc="T T T"
Mg 3.0661 0.9232 -2.3584
Mg 0.9232 1.0220 2.3584
Mg -1.0220 1.1209 7.0751
Mg 1.1209 1.0220 11.7919
Cd 2.0441 0.0000 4.7168
Cd 0.0000 0.0000 9.4335
Ir 0.0000 0.0000 0.0000
Ir 0.0000 2.0441 4.7168
```

# 2
A relaxed structure of Pr2PuSi. Source: Alexandria, functional PBE.

```
4
Lattice="1.8418 1.0634 10.8639 -1.8418 1.0634 10.8639 0.0000 -2.1267 10.8639" Properties=species:S:1:pos:R:3 pbc="T T T"
Pr 0.0000 0.0000 3.4098
Pr 0.0000 0.0000 29.1820
Pu 0.0000 0.0000 0.0000
Si 0.0000 0.0000 16.2959
```

# 3
A relaxed structure of Tb2Mg3Au2. Source: Alexandria, functional PBE.

```
7
Lattice="5.0718 -2.2826 0.0000 5.0718 2.2826 0.0000 -2.6995 0.0000 6.9812" Properties=species:S:1:pos:R:3 pbc="T T T"
Tb 0.6161 0.0000 2.0102
Tb 6.8279 0.0000 4.9710
Mg 3.5875 0.0000 0.4423
Mg 3.7220 0.0000 3.4906
Mg 3.8564 0.0000 6.5389
Au -0.2778 0.0000 4.9272
Au 7.7218 0.0000 2.0539
```

Going through the records in order, we get E values of -3.039 -7.149 -3.510 eV per atom.